# TbPuPt2

A relaxed TbPuPt2 crystal (GGA-PBE, Alexandria).

abc: 4.055 4.055 7.230
angles: 73.71 73.71 60.00
Site moments in Bohr magnetons follow the coordinates.
Fractional coordinates of all 4 atoms:
Tb 0.497 0.497 0.509  0.08
Pu 0.669 0.669 0.993  5.07
Pt 0.084 0.084 0.749  -0.05
Pt 0.250 0.250 0.249  -0.07

Results
**Crystal system**: trigonal
**E_tot**: -8.6287 eV/atom
**Calculated formation energy**: -868 meV per atom
**Offset from the most stable computed form**: 157 meV/atom
**Space-group type**: No. 160



# Pm2GaCu2

A relaxed Pm2GaCu2 crystal (GGA-PBE, Alexandria).

abc: 4.242 5.657 5.657
angles: 59.36 67.98 67.98
Fractional coordinates of all 5 atoms:
Pm 0.801 0.699 0.699
Pm 0.199 0.301 0.301
Ga 0.000 0.000 0.000
Cu 0.500 0.733 0.267
Cu 0.500 0.267 0.733

Results
**Crystal system**: orthorhombic
**E_tot**: -4.4892 eV/atom
**Calculated formation energy**: -345 meV per atom
**Offset from the most stable computed form**: 0 meV/atom
**Space-group type**: No. 71



Question: What is the E_tot in the first record?
Answer: -8.6287 eV/atom



Repeat the second record exactly.
# Pm2GaCu2

A relaxed Pm2GaCu2 crystal (GGA-PBE, Alexandria).

abc: 4.242 5.657 5.657
angles: 59.36 67.98 67.98
Fractional coordinates of all 5 atoms:
Pm 0.801 0.699 0.699
Pm 0.199 0.301 0.301
Ga 0.000 0.000 0.000
Cu 0.500 0.733 0.267
Cu 0.500 0.267 0.733

Results
**Crystal system**: orthorhombic
**E_tot**: -4.4892 eV/atom
**Calculated formation energy**: -345 meV per atom
**Offset from the most stable computed form**: 0 meV/atom
**Space-group type**: No. 71



Question: E_tot of number 2 (Pm2GaCu2)?
Answer: -4.4892 eV/atom



Question: Which formula does entry 1 have?
Answer: TbPuPt2